Na2Nb4O7: relaxed, PBE-GGA.

Cell lengths 5.0646, 5.0646, 6.9862 Å; angles 90.00, 90.00, 120.00 degrees
Positions (direct):
Na  0.3333  0.6667  0.0000
Na  0.6667  0.3333  0.0000
Nb  0.0000  0.0000  0.2891
Nb  0.0000  0.0000  0.7109
Nb  0.3333  0.6667  0.5000
Nb  0.6667  0.3333  0.5000
O  0.0000  0.0000  0.0000
O  0.0000  0.3946  0.2741
O  0.0000  0.6054  0.7259
O  0.3946  0.0000  0.2741
O  0.3946  0.3946  0.7259
O  0.6054  0.0000  0.7259
O  0.6054  0.6054  0.2741

Results
**ΔE_f (raw)**: -2.0392 eV/atom
**Space group**: No. 162


Sm5Zn4Cu: relaxed, PBE-GGA.

Cell lengths 3.6250, 3.6250, 18.1042 Å; angles 90.00, 90.00, 90.00 degrees
Positions (direct):
Sm  0.0000  0.0000  0.0000
Sm  0.0000  0.0000  0.2022
Sm  0.0000  0.0000  0.4034
Sm  0.0000  0.0000  0.5966
Sm  0.0000  0.0000  0.7978
Zn  0.5000  0.5000  0.1017
Zn  0.5000  0.5000  0.3014
Zn  0.5000  0.5000  0.6986
Zn  0.5000  0.5000  0.8983
Cu  0.5000  0.5000  0.5000

Results
**Energy relative to the elements**: -27.9 kJ per mole of atoms
**Space group**: No. 123


K2PuSeO2: relaxed, PBE-GGA.

Cell lengths 4.4007, 4.4007, 6.3989 Å; angles 90.00, 90.00, 90.00 degrees
Positions (direct):
K  0.0000  0.0000  0.2253
K  0.0000  0.0000  0.7747
Pu  0.5000  0.5000  0.5000
Se  0.5000  0.5000  0.0000
O  0.0000  0.5000  0.5000
O  0.5000  0.0000  0.5000

Results
**ΔE_f (raw)**: -1.9408 eV/atom
**Space group**: No. 123


Going through the records in order, we get raw total energy values of -8.010, -3.568, -6.929 eV per atom.